A relaxed ZnNiRh14 crystal. Source: Alexandria, functional PBE-GGA.

Its crystal system is orthorhombic. The calculation puts the raw total energy at -6.888 eV/atom. The calculation puts the formation energy at -0.014 eV per atom. The calculation puts the spin magnetization at 0.000 μB per formula unit.

a = 8.859 Å, b = 5.427 Å, c = 9.363 Å
α = 90.00°, β = 90.00°, γ = 90.00°
Space group Amm2 (No. 38)
Asymmetric unit:
Zn 0.000 0.000 0.000 [2 per cell]
Ni 0.000 0.000 0.499 [2 per cell]
Rh 0.000 0.249 0.250 [4 per cell]
Rh 0.247 0.000 0.334 [4 per cell]
Rh 0.247 0.249 0.583 [8 per cell]
Rh 0.248 0.000 0.833 [4 per cell]
Rh 0.500 0.000 0.166 [2 per cell]
Rh 0.500 0.000 0.666 [2 per cell]
Rh 0.500 0.250 0.416 [4 per cell]

A relaxed ZnNiRh2 crystal. Source: Alexandria, functional PBE-GGA.

Its crystal system is orthorhombic. The calculation puts the raw total energy at -5.464 eV/atom. The calculation puts the formation energy at -0.024 eV per atom. The calculation puts the spin magnetization at 0.618 μB per formula unit.

a = 2.769 Å, b = 4.353 Å, c = 4.506 Å
α = 90.00°, β = 90.00°, γ = 90.00°
Space group Pmmm (No. 47)
Asymmetric unit:
Zn 0.000 0.000 0.000 [1 per cell]
Ni 0.500 0.000 0.500 [1 per cell]
Rh 0.000 0.500 0.500 [1 per cell]
Rh 0.500 0.500 0.000 [1 per cell]

A relaxed Zn6Ni5Rh crystal. Source: Alexandria, functional PBE-GGA.

Its crystal system is orthorhombic. The calculation puts the raw total energy at -3.930 eV/atom. The calculation puts the formation energy at -0.271 eV per atom. The calculation puts the spin magnetization at 0.000 μB per formula unit.

a = 3.995 Å, b = 11.999 Å, c = 6.224 Å
α = 90.00°, β = 90.00°, γ = 90.00°
Space group Cmmm (No. 65)
Asymmetric unit:
Zn 0.000 0.000 0.242 [4 per cell]
Zn 0.000 0.331 0.247 [8 per cell]
Ni 0.000 0.167 0.000 [4 per cell]
Ni 0.000 0.168 0.500 [4 per cell]
Ni 0.000 0.500 0.000 [2 per cell]
Rh 0.000 0.500 0.500 [2 per cell]

A relaxed Zn4NiRh3 crystal. Source: Alexandria, functional PBE-GGA.

Its crystal system is tetragonal. The calculation puts the raw total energy at -4.470 eV/atom. The calculation puts the formation energy at -0.354 eV per atom. The calculation puts the spin magnetization at 0.000 μB per formula unit.

a = 3.009 Å, b = 3.009 Å, c = 11.884 Å
α = 90.00°, β = 90.00°, γ = 90.00°
Space group P4/mmm (No. 123)
Asymmetric unit:
Zn 0.000 0.000 0.116 [2 per cell]
Zn 0.000 0.000 0.372 [2 per cell]
Ni 0.500 0.500 0.000 [1 per cell]
Rh 0.500 0.500 0.242 [2 per cell]
Rh 0.500 0.500 0.500 [1 per cell]

A relaxed Zn2NiRh crystal. Source: Alexandria, functional PBE-GGA.

Its crystal system is cubic. The calculation puts the raw total energy at -4.092 eV/atom. The calculation puts the formation energy at -0.172 eV per atom. The calculation puts the spin magnetization at 0.011 μB per formula unit.

a = 5.958 Å, b = 5.958 Å, c = 5.958 Å
α = 90.00°, β = 90.00°, γ = 90.00°
Space group F-43m (No. 216)
Asymmetric unit:
Zn 0.000 0.000 0.000 [4 per cell]
Zn 0.250 0.250 0.250 [4 per cell]
Ni 0.000 0.000 0.500 [4 per cell]
Rh 0.250 0.250 0.750 [4 per cell]

A relaxed Zn2Ni2Rh crystal. Source: Alexandria, functional PBE-GGA.

Its crystal system is monoclinic. The calculation puts the raw total energy at -4.472 eV/atom. The calculation puts the formation energy at -0.180 eV per atom. The calculation puts the spin magnetization at 0.000 μB per formula unit. For the energy above the most stable polymorph in this dataset, the calculation gives 0 meV per atom.

a = 8.161 Å, b = 3.741 Å, c = 5.800 Å
α = 90.00°, β = 134.24°, γ = 90.00°
Space group C2/m (No. 12)
Asymmetric unit:
Zn 0.092 0.000 0.292 [4 per cell]
Ni 0.197 0.500 0.094 [4 per cell]
Rh 0.000 0.500 0.500 [2 per cell]

A relaxed ZnNiRh2 crystal. Source: Alexandria, functional PBE-GGA.

Its crystal system is tetragonal. The calculation puts the raw total energy at -5.540 eV/atom. The calculation puts the formation energy at -0.101 eV per atom. The calculation puts the spin magnetization at 0.473 μB per formula unit.

a = 2.730 Å, b = 2.730 Å, c = 7.145 Å
α = 90.00°, β = 90.00°, γ = 90.00°
Space group P4mm (No. 99)
Asymmetric unit:
Zn 0.000 0.000 0.000 [1 per cell]
Ni 0.500 0.500 0.234 [1 per cell]
Rh 0.000 0.000 0.477 [1 per cell]
Rh 0.500 0.500 0.738 [1 per cell]

A relaxed Zn2NiRh crystal. Source: Alexandria, functional PBE-GGA.

Its crystal system is cubic. The calculation puts the raw total energy at -4.262 eV/atom. The calculation puts the formation energy at -0.342 eV per atom. The calculation puts the spin magnetization at 0.000 μB per formula unit.

a = 5.931 Å, b = 5.931 Å, c = 5.931 Å
α = 90.00°, β = 90.00°, γ = 90.00°
Space group Fm-3m (No. 225)
Asymmetric unit:
Zn 0.250 0.250 0.250 [8 per cell]
Ni 0.000 0.000 0.000 [4 per cell]
Rh 0.000 0.000 0.500 [4 per cell]

- The lowest formation energy belongs to which entry?
  Zn4NiRh3

- What is the formula in the third record?
  Zn6Ni5Rh

- Which formula does entry 2 have?
  ZnNiRh2

- The highest formation energy belongs to which entry?
  ZnNiRh14